This record from the Alexandria database describes a relaxed Sm3Hg2C crystal. The functional is GGA-PBE.

- Energy relative to the elements: -353 meV/atom
- Space-group type: No. 65

Lattice parameters (Å, degrees): 5.161 7.213 8.280 90.04 108.16 90.00
Sites, in units of the cell vectors:
1 Sm 0.500 0.250 0.000
2 Sm 0.500 0.750 0.000
3 Sm 0.114 0.000 0.228
4 Sm 0.886 0.500 0.772
5 Sm 0.114 0.500 0.228
6 Sm 0.886 0.000 0.772
7 Hg 0.698 0.750 0.397
8 Hg 0.699 0.250 0.397
9 Hg 0.301 0.750 0.603
10 Hg 0.302 0.250 0.603
11 C 0.000 0.750 0.000
12 C 0.000 0.250 0.000

This record from the Alexandria database describes a relaxed InPb4 crystal. The functional is GGA-PBE.

- Energy relative to the elements: 16 meV/atom
- Space-group type: No. 166
- Polymorph energy (0 for the lowest one): 9 meV/atom

Lattice parameters (Å, degrees): 3.532 3.532 14.414 82.96 82.96 60.00
Sites, in units of the cell vectors:
1 In 0.000 0.000 0.000
2 Pb 0.602 0.602 0.194
3 Pb 0.200 0.200 0.400
4 Pb 0.800 0.800 0.600
5 Pb 0.398 0.398 0.806

This record from the Alexandria database describes a relaxed GeTe2Ir crystal. The functional is GGA-PBE.

- Space-group type: No. 8
- Energy relative to the elements, uncorrected: -0.08 eV/atom

Lattice parameters (Å, degrees): 4.036 4.681 6.973 113.53 111.28 77.36
Sites, in units of the cell vectors:
1 Ge 0.372 0.558 0.000
2 Te 0.188 0.114 0.292
3 Te 0.895 0.821 0.708
4 Ir 0.545 0.043 0.000